## LaTcRh2 (PBE)

Data for LaTcRh2 after structural relaxation.

Cell: 4.1649 4.1649 8.2257 Å, 90.00 90.00 90.00°
With the nearest neighbours (Å) after each atom.
Positions (direct):
La: 0.0000 0.0000 0.0000  4 Tc 2.93, 8 Rh 2.93-2.95
La: 0.5000 0.5000 0.5000  4 Tc 2.93, 8 Rh 2.93-2.95
Tc: 0.0000 0.5000 0.2500  4 La 2.93, 8 Rh 2.93-2.95
Tc: 0.5000 0.0000 0.7500  4 La 2.93, 8 Rh 2.93-2.95
Rh: 0.0000 0.0000 0.5000  4 Tc 2.93, 4 Rh 2.93, 4 La 2.95
Rh: 0.0000 0.5000 0.7500  4 La 2.93, 4 Rh 2.93, 4 Tc 2.95
Rh: 0.5000 0.0000 0.2500  4 La 2.93, 4 Rh 2.93, 4 Tc 2.95
Rh: 0.5000 0.5000 0.0000  4 Tc 2.93, 4 Rh 2.93, 4 La 2.95

Results
SG: I-4m2, No. 119
N(E_F) (states/eV/cell): 10.5
Uncorrected energy (eV for the cell shown): -59.2
Magnetization (μB per formula unit): 0.93

---

## TbSm5YHo2 (PBE)

Data for TbSm5YHo2 after structural relaxation.

Cell: 10.5238 10.5238 10.6115 Å, 90.00 90.00 148.91°
With the nearest neighbours (Å) after each atom.
Positions (direct):
Tb: 0.1993 0.8007 0.5000  2 Ho 3.41-3.65, 7 Sm 3.51-3.80, 2 Y 3.63
Tb: 0.8007 0.1993 0.0000  2 Ho 3.41-3.65, 7 Sm 3.51-3.80, 2 Y 3.63
Sm: 0.0162 0.9838 0.5087  2 Y 3.26, 3 Ho 3.43-3.58
Sm: 0.2794 0.7206 0.7995  1 Y 3.07, 1 Ho 3.34, 2 Sm 3.41
Sm: 0.2986 0.7014 0.1961  4 Sm 3.41-3.81, 1 Y 3.48, 3 Tb 3.51-3.80, 3 Ho 3.51-3.80
Sm: 0.3881 0.6119 0.5121  6 Sm 3.53-3.83, 4 Ho 3.59-3.62, 1 Tb 3.83
Sm: 0.4802 0.5198 0.2302  2 Y 3.20-3.34, 2 Ho 3.50, 2 Sm 3.53
Sm: 0.5198 0.4802 0.7302  2 Y 3.20-3.34, 2 Ho 3.50, 2 Sm 3.53
Sm: 0.6119 0.3881 0.0121  6 Sm 3.53-3.83, 4 Ho 3.59-3.62, 1 Tb 3.83
Sm: 0.7014 0.2986 0.6961  4 Sm 3.41-3.81, 1 Y 3.48, 3 Tb 3.51-3.80, 3 Ho 3.51-3.80
Sm: 0.7206 0.2794 0.2995  1 Y 3.07, 1 Ho 3.34, 2 Sm 3.41
Sm: 0.9838 0.0162 0.0087  2 Y 3.26, 3 Ho 3.43-3.58
Y: 0.4097 0.5903 0.9459  5 Sm 3.07-3.34
Y: 0.5903 0.4097 0.4459  5 Sm 3.07-3.34
Ho: 0.1119 0.8881 0.2254  1 Tb 3.41, 7 Sm 3.47-3.80, 2 Y 3.69
Ho: 0.1146 0.8854 0.8031  9 Sm 3.34-3.71, 1 Tb 3.65
Ho: 0.8854 0.1146 0.3031  9 Sm 3.34-3.71, 1 Tb 3.65
Ho: 0.8881 0.1119 0.7254  1 Tb 3.41, 7 Sm 3.47-3.80, 2 Y 3.69

Results
SG: Cmc2_1, No. 36
N(E_F) (states/eV/cell): 29.7
Uncorrected energy (eV for the cell shown): -84.9
Magnetization (μB per formula unit): 0.00

---

## Ba2ScTaS6 (PBE)

Data for Ba2ScTaS6 after structural relaxation.

Cell: 12.4783 12.4783 12.4783 Å, 32.45 32.45 32.45°
With the nearest neighbours (Å) after each atom.
Positions (direct):
Ba: 0.1274 0.1274 0.1274  12 S 3.49-3.68
Ba: 0.2927 0.2927 0.2927  12 S 3.49-3.63
Ba: 0.7073 0.7073 0.7073  12 S 3.49-3.63
Ba: 0.8726 0.8726 0.8726  12 S 3.49-3.68
Sc: 0.4129 0.4129 0.4129  6 S 2.49-2.58
Sc: 0.5871 0.5871 0.5871  6 S 2.49-2.58
Ta: 0.0000 0.0000 0.0000  6 S 2.42
Ta: 0.5000 0.5000 0.5000  6 S 2.47
S: 0.1287 0.6242 0.6242  1 Ta 2.47, 1 Sc 2.58
S: 0.2030 0.2030 0.7137  1 Ta 2.42, 1 Sc 2.49
S: 0.2030 0.7137 0.2030  1 Ta 2.42, 1 Sc 2.49
S: 0.2863 0.7970 0.7970  1 Ta 2.42, 1 Sc 2.49
S: 0.3758 0.3758 0.8713  1 Ta 2.47, 1 Sc 2.58
S: 0.3758 0.8713 0.3758  1 Ta 2.47, 1 Sc 2.58
S: 0.6242 0.1287 0.6242  1 Ta 2.47, 1 Sc 2.58
S: 0.6242 0.6242 0.1287  1 Ta 2.47, 1 Sc 2.58
S: 0.7137 0.2030 0.2030  1 Ta 2.42, 1 Sc 2.49
S: 0.7970 0.2863 0.7970  1 Ta 2.42, 1 Sc 2.49
S: 0.7970 0.7970 0.2863  1 Ta 2.42, 1 Sc 2.49
S: 0.8713 0.3758 0.3758  1 Ta 2.47, 1 Sc 2.58

Results
SG: R-3m, No. 166
N(E_F) (states/eV/cell): 0.2
Uncorrected formation energy (kJ per mole of atoms): -161
Magnetization (μB per formula unit): 0.00

---

## IrAuSe2 (PBE)

Data for IrAuSe2 after structural relaxation.

Cell: 2.9910 2.9910 8.8713 Å, 90.00 90.00 90.00°
With the nearest neighbours (Å) after each atom.
Positions (direct):
Ir: 0.0000 0.0000 0.0000  4 Se 2.51
Au: 0.5000 0.5000 0.7644  4 Ir 2.97, 4 Au 2.99, 4 Se 3.10
Se: 0.0000 0.0000 0.5085  4 Se 2.99, 4 Au 3.10
Se: 0.5000 0.5000 0.1524  4 Ir 2.51

Results
SG: P4mm, No. 99
N(E_F) (states/eV/cell): 2.1
Uncorrected formation energy (kJ per mole of atoms): 25
Magnetization (μB per formula unit): 0.00

---

## ErCrP2N6 (PBE)

Data for ErCrP2N6 after structural relaxation.

Cell: 6.9387 6.9387 5.5410 Å, 106.22 106.22 87.92°
With the nearest neighbours (Å) after each atom.
Positions (direct):
Er: 0.1166 0.8834 0.7500  6 N 2.30-2.47
Er: 0.8834 0.1166 0.2500  6 N 2.30-2.47
Cr: 0.2212 0.7788 0.2500  4 N 1.78-1.82
Cr: 0.7788 0.2212 0.7500  4 N 1.78-1.82
P: 0.2298 0.3764 0.8169  4 N 1.62-1.68
P: 0.3764 0.2298 0.3169  4 N 1.62-1.68
P: 0.6236 0.7702 0.6831  4 N 1.62-1.68
P: 0.7702 0.6236 0.1831  4 N 1.62-1.68
N: 0.0256 0.2194 0.6950  1 P 1.68, 1 Cr 1.82
N: 0.1766 0.6136 0.9289  1 P 1.66, 1 Cr 1.78
N: 0.2194 0.0256 0.1950  1 P 1.68, 1 Cr 1.82
N: 0.3050 0.3681 0.5622  2 P 1.62
N: 0.3681 0.3050 0.0622  2 P 1.62
N: 0.3864 0.8234 0.5711  1 P 1.66, 1 Cr 1.78
N: 0.6136 0.1766 0.4289  1 P 1.66, 1 Cr 1.78
N: 0.6319 0.6950 0.9378  2 P 1.62
N: 0.6950 0.6319 0.4378  2 P 1.62
N: 0.7806 0.9744 0.8050  1 P 1.68, 1 Cr 1.82
N: 0.8234 0.3864 0.0711  1 P 1.66, 1 Cr 1.78
N: 0.9744 0.7806 0.3050  1 P 1.68, 1 Cr 1.82

Results
SG: C2/c, No. 15
N(E_F) (states/eV/cell): 4.1
Uncorrected formation energy (kJ per mole of atoms): -53
Magnetization (μB per formula unit): 1.00

---

## GePSN2 (PBE)

Data for GePSN2 after structural relaxation.

Cell: 3.7059 3.7059 5.0322 Å, 90.00 90.00 90.00°
With the nearest neighbours (Å) after each atom.
Positions (direct):
Ge: 0.0000 0.0000 0.0000  4 N 1.85
P: 0.5000 0.5000 0.5000  4 S 2.62
S: 0.0000 0.0000 0.5000  2 Ge 2.52, 4 P 2.62
N: 0.0000 0.5000 0.0000  2 Ge 1.85
N: 0.5000 0.0000 0.0000  2 Ge 1.85

Results
SG: P4/mmm, No. 123
N(E_F) (states/eV/cell): 3.7
Uncorrected formation energy (kJ per mole of atoms): 135
Magnetization (μB per formula unit): 0.74

---

## Ni2TePb (PBE)

Data for Ni2TePb after structural relaxation.

Cell: 3.9928 3.9928 18.7698 Å, 90.00 90.00 120.00°
With the nearest neighbours (Å) after each atom.
Positions (direct):
Ni: 0.0000 0.0000 0.0000  3 Ni 2.40, 3 Te 2.53
Ni: 0.0000 0.0000 0.2983  3 Ni 2.40
Ni: 0.3333 0.6667 0.6667  3 Ni 2.40, 3 Te 2.53
Ni: 0.3333 0.6667 0.9649  3 Ni 2.40
Ni: 0.6667 0.3333 0.3333  3 Ni 2.40, 3 Te 2.53
Ni: 0.6667 0.3333 0.6316  3 Ni 2.40
Te: 0.0000 0.0000 0.7217  3 Ni 2.53
Te: 0.3333 0.6667 0.3884  3 Ni 2.53
Te: 0.6667 0.3333 0.0551  3 Ni 2.53
Pb: 0.0000 0.0000 0.5484  3 Ni 2.78
Pb: 0.3333 0.6667 0.2150  3 Ni 2.78
Pb: 0.6667 0.3333 0.8817  3 Ni 2.78

Results
SG: R3m, No. 160
N(E_F) (states/eV/cell): 14.9
Uncorrected formation energy (kJ per mole of atoms): -1
Magnetization (μB per formula unit): 0.00

---

## NpZnH8Rh4 (PBE)

Data for NpZnH8Rh4 after structural relaxation.

Cell: 5.9879 5.9879 5.9879 Å, 54.77 54.77 54.77°
With the nearest neighbours (Å) after each atom.
Positions (direct):
Np: 0.0000 0.0000 0.0000  6 H 2.40-2.41
Zn: 0.3476 0.3476 0.3476  1 H 1.96
H: 0.2189 0.2189 0.2189  3 Rh 1.80, 1 Zn 1.96
H: 0.2711 0.7073 0.7073  3 Rh 1.84-1.94
H: 0.2875 0.2875 0.7764  2 Rh 1.78
H: 0.2875 0.7764 0.2875  2 Rh 1.78
H: 0.7073 0.2711 0.7073  3 Rh 1.84-1.94
H: 0.7073 0.7073 0.2711  3 Rh 1.84-1.94
H: 0.7608 0.7608 0.7608  4 Rh 1.81-1.91
H: 0.7764 0.2875 0.2875  2 Rh 1.78
Rh: 0.5045 0.9968 0.9968  6 H 1.78-1.94
Rh: 0.6418 0.6418 0.6418  4 H 1.81-1.84
Rh: 0.9968 0.5045 0.9968  6 H 1.78-1.94
Rh: 0.9968 0.9968 0.5045  6 H 1.78-1.94

Results
SG: R3m, No. 160
N(E_F) (states/eV/cell): 13.0
Uncorrected energy (eV for the cell shown): -70.4
Magnetization (μB per formula unit): 3.93

---

## NdHPt (PBE)

Data for NdHPt after structural relaxation.

Cell: 3.6420 6.1570 4.6762 Å, 90.00 90.00 90.00°
With the nearest neighbours (Å) after each atom.
Positions (direct):
Nd: 0.0000 0.2449 0.0000  2 H 2.70
Nd: 0.0000 0.7551 0.5000  2 H 2.70
H: 0.5000 0.0796 0.5020  1 Pt 1.70
H: 0.5000 0.9204 0.0020  1 Pt 1.70
Pt: 0.5000 0.3557 0.5000  1 H 1.70
Pt: 0.5000 0.6443 0.0000  1 H 1.70

Results
SG: Pmc2_1, No. 26
N(E_F) (states/eV/cell): 1.7
Uncorrected energy (eV for the cell shown): -32.7
Magnetization (μB per formula unit): 0.00

---

## Ce2Al12Ir7 (PBE)

Data for Ce2Al12Ir7 after structural relaxation.

Cell: 9.9096 9.9096 4.1011 Å, 90.00 90.00 120.00°
With the nearest neighbours (Å) after each atom.
Positions (direct):
Ce: 0.0000 0.0000 0.0000  9 Al 3.15-3.52, 6 Ir 3.39
Ce: 0.3333 0.6667 0.5000  6 Ir 3.18, 12 Al 3.25-3.44
Al: 0.0621 0.6799 0.0000  4 Ir 2.55-2.71, 5 Al 2.77
Al: 0.1024 0.2758 0.5000  4 Ir 2.54-2.58, 2 Al 2.77
Al: 0.1735 0.8976 0.5000  4 Ir 2.54-2.58, 2 Al 2.77
Al: 0.3201 0.3821 0.0000  4 Ir 2.55-2.71, 5 Al 2.77
Al: 0.4716 0.2112 0.0000  5 Ir 2.55-2.66, 3 Al 2.76-2.77
Al: 0.5070 0.0449 0.5000  4 Ir 2.48-2.65, 4 Al 2.76-2.77
Al: 0.5379 0.4930 0.5000  4 Ir 2.48-2.65, 4 Al 2.76-2.77
Al: 0.6179 0.9379 0.0000  4 Ir 2.55-2.71, 5 Al 2.77
Al: 0.7242 0.8265 0.5000  4 Ir 2.54-2.58, 2 Al 2.77
Al: 0.7396 0.5284 0.0000  5 Ir 2.55-2.66, 3 Al 2.76-2.77
Al: 0.7888 0.2604 0.0000  5 Ir 2.55-2.66, 3 Al 2.76-2.77
Al: 0.9551 0.4621 0.5000  4 Ir 2.48-2.65, 4 Al 2.76-2.77
Ir: 0.0856 0.4232 0.0000  7 Al 2.55-2.67
Ir: 0.3110 0.1983 0.5000  7 Al 2.54-2.71
Ir: 0.3376 0.9144 0.0000  7 Al 2.55-2.67
Ir: 0.5768 0.6624 0.0000  7 Al 2.55-2.67
Ir: 0.6667 0.3333 0.5000  9 Al 2.48-2.66
Ir: 0.8017 0.1127 0.5000  7 Al 2.54-2.71
Ir: 0.8873 0.6890 0.5000  7 Al 2.54-2.71

Results
SG: P-6, No. 174
N(E_F) (states/eV/cell): 12.9
Uncorrected energy (eV for the cell shown): -136.5
Magnetization (μB per formula unit): 0.53

---

## Ce2MgI2Br4 (PBE)

Data for Ce2MgI2Br4 after structural relaxation.

Cell: 4.0804 4.0804 23.4093 Å, 90.00 90.00 120.00°
With the nearest neighbours (Å) after each atom.
Positions (direct):
Ce: 0.0000 0.0000 0.0000  6 Br 3.03
Ce: 0.3333 0.6667 0.3212  6 Br 3.03
Mg: 0.3333 0.6667 0.6724  6 I 3.00
I: 0.0000 0.0000 0.5933  3 Mg 3.00
I: 0.0000 0.0000 0.7514  3 Mg 3.00
Br: 0.0000 0.0000 0.2399  3 Ce 3.03
Br: 0.0000 0.0000 0.4026  3 Ce 3.03
Br: 0.3333 0.6667 0.0813  3 Ce 3.03
Br: 0.3333 0.6667 0.9187  3 Ce 3.03

Results
SG: P3m1, No. 156
N(E_F) (states/eV/cell): 12.7
Uncorrected formation energy (kJ per mole of atoms): -134
Magnetization (μB per formula unit): 4.00

---

## HfVCoMo (PBE)

Data for HfVCoMo after structural relaxation.

Cell: 6.2135 6.2135 6.2135 Å, 90.00 90.00 90.00°
With the nearest neighbours (Å) after each atom.
Positions (direct):
Hf: 0.0000 0.0000 0.0000  4 Co 2.69, 4 Mo 2.69
Hf: 0.0000 0.5000 0.5000  4 Co 2.69, 4 Mo 2.69
Hf: 0.5000 0.0000 0.5000  4 Co 2.69, 4 Mo 2.69
Hf: 0.5000 0.5000 0.0000  4 Co 2.69, 4 Mo 2.69
V: 0.0000 0.0000 0.5000  4 Mo 2.69, 4 Co 2.69
V: 0.0000 0.5000 0.0000  4 Mo 2.69, 4 Co 2.69
V: 0.5000 0.0000 0.0000  4 Mo 2.69, 4 Co 2.69
V: 0.5000 0.5000 0.5000  4 Mo 2.69, 4 Co 2.69
Co: 0.2500 0.2500 0.7500  4 V 2.69, 4 Hf 2.69
Co: 0.2500 0.7500 0.2500  4 V 2.69, 4 Hf 2.69
Co: 0.7500 0.2500 0.2500  4 V 2.69, 4 Hf 2.69
Co: 0.7500 0.7500 0.7500  4 V 2.69, 4 Hf 2.69
Mo: 0.2500 0.2500 0.2500  4 Hf 2.69, 4 V 2.69
Mo: 0.2500 0.7500 0.7500  4 Hf 2.69, 4 V 2.69
Mo: 0.7500 0.2500 0.7500  4 Hf 2.69, 4 V 2.69
Mo: 0.7500 0.7500 0.2500  4 Hf 2.69, 4 V 2.69

Results
SG: F-43m, No. 216
N(E_F) (states/eV/cell): 9.4
Uncorrected energy (eV for the cell shown): -149.9
Magnetization (μB per formula unit): 0.18

---

Among the records above, which one has the highest N(E_F)?
TbSm5YHo2

---

What is the N(E_F) in the ninth record?
1.7 states/eV/cell

---

Copy entry 6 word for word.
## GePSN2 (PBE)

Data for GePSN2 after structural relaxation.

Cell: 3.7059 3.7059 5.0322 Å, 90.00 90.00 90.00°
With the nearest neighbours (Å) after each atom.
Positions (direct):
Ge: 0.0000 0.0000 0.0000  4 N 1.85
P: 0.5000 0.5000 0.5000  4 S 2.62
S: 0.0000 0.0000 0.5000  2 Ge 2.52, 4 P 2.62
N: 0.0000 0.5000 0.0000  2 Ge 1.85
N: 0.5000 0.0000 0.0000  2 Ge 1.85

Results
SG: P4/mmm, No. 123
N(E_F) (states/eV/cell): 3.7
Uncorrected formation energy (kJ per mole of atoms): 135
Magnetization (μB per formula unit): 0.74